This record from Alexandria via LeMat-Bulk describes a relaxed structure of InTcNi. The functional is PBE-GGA.

Energy relative to the elements (eV/atom): 0.156
Energy above the lowest structure with this stoichiometry (meV per atom): 117
Total energy (eV/atom): -6.140

CIF file:
```
data_InTcNi
_chemical_formula_sum 'In1 Tc1 Ni1'
_symmetry_space_group_name_H-M 'P 1'
_symmetry_Int_Tables_number 1
_cell_length_a 5.8756
_cell_length_b 5.8756
_cell_length_c 5.8756
_cell_angle_alpha 151.57
_cell_angle_beta 151.57
_cell_angle_gamma 40.64
loop_
_symmetry_equiv_pos_as_xyz
'x,y,z'
loop_
_atom_site_label
_atom_site_type_symbol
_atom_site_fract_x
_atom_site_fract_y
_atom_site_fract_z
In1 In 0.0000 0.0000 0.0000
Tc1 Tc 0.6912 0.6912 0.0000
Ni1 Ni 0.3283 0.3283 0.0000
```

---

This record from Alexandria via LeMat-Bulk describes a relaxed structure of Cs2Ag2HgBr6. The functional is PBE-GGA.

ΔE_f (raw) (eV per atom): -0.88
Total energy (eV/atom): -2.495

CIF file:
```
data_Cs2Ag2HgBr6
_chemical_formula_sum 'Cs2 Ag2 Hg1 Br6'
_symmetry_space_group_name_H-M 'P 1'
_symmetry_Int_Tables_number 1
_cell_length_a 8.4922
_cell_length_b 8.4922
_cell_length_c 7.8496
_cell_angle_alpha 114.88
_cell_angle_beta 114.88
_cell_angle_gamma 55.37
loop_
_symmetry_equiv_pos_as_xyz
'x,y,z'
loop_
_atom_site_label
_atom_site_type_symbol
_atom_site_fract_x
_atom_site_fract_y
_atom_site_fract_z
Cs1 Cs 0.2374 0.2374 0.2035
Cs2 Cs 0.7626 0.7626 0.7965
Ag1 Ag 0.4282 0.4282 0.7866
Ag2 Ag 0.5718 0.5718 0.2134
Hg1 Hg 0.0000 0.0000 0.5000
Br1 Br 0.2004 0.7149 0.2135
Br2 Br 0.2374 0.2374 0.6787
Br3 Br 0.2851 0.7996 0.7865
Br4 Br 0.7149 0.2004 0.2135
Br5 Br 0.7626 0.7626 0.3213
Br6 Br 0.7996 0.2851 0.7865
```

---

This record from Alexandria via LeMat-Bulk describes a relaxed structure of La15Pm4Th. The functional is PBE-GGA.

Energy relative to the elements (eV/atom): 0.019
Total energy (eV/atom): -4.998

CIF file:
```
data_La15Pm4Th
_chemical_formula_sum 'La15 Pm4 Th1'
_symmetry_space_group_name_H-M 'P 1'
_symmetry_Int_Tables_number 1
_cell_length_a 5.2279
_cell_length_b 5.2279
_cell_length_c 26.2906
_cell_angle_alpha 90.00
_cell_angle_beta 90.00
_cell_angle_gamma 90.00
loop_
_symmetry_equiv_pos_as_xyz
'x,y,z'
loop_
_atom_site_label
_atom_site_type_symbol
_atom_site_fract_x
_atom_site_fract_y
_atom_site_fract_z
La1 La 0.0000 0.0000 0.0000
La2 La 0.0000 0.0000 0.2021
La3 La 0.0000 0.0000 0.4011
La4 La 0.0000 0.0000 0.5989
La5 La 0.0000 0.0000 0.7979
La6 La 0.0000 0.5000 0.0961
La7 La 0.0000 0.5000 0.2996
La8 La 0.0000 0.5000 0.5000
La9 La 0.0000 0.5000 0.7004
La10 La 0.0000 0.5000 0.9039
La11 La 0.5000 0.0000 0.0961
La12 La 0.5000 0.0000 0.2996
La13 La 0.5000 0.0000 0.5000
La14 La 0.5000 0.0000 0.7004
La15 La 0.5000 0.0000 0.9039
Pm1 Pm 0.5000 0.5000 0.2004
Pm2 Pm 0.5000 0.5000 0.4002
Pm3 Pm 0.5000 0.5000 0.5998
Pm4 Pm 0.5000 0.5000 0.7996
Th1 Th 0.5000 0.5000 0.0000
```

---

This record from Alexandria via LeMat-Bulk describes a relaxed structure of BeGeF2. The functional is PBE-GGA.

ΔE_f (raw) (eV per atom): -2.03
Energy above the lowest structure with this stoichiometry (meV per atom): 0
Total energy (eV/atom): -5.047

CIF file:
```
data_BeGeF2
_chemical_formula_sum 'Be1 Ge1 F2'
_symmetry_space_group_name_H-M 'P 1'
_symmetry_Int_Tables_number 1
_cell_length_a 10.0272
_cell_length_b 10.0272
_cell_length_c 10.0272
_cell_angle_alpha 15.19
_cell_angle_beta 15.19
_cell_angle_gamma 15.19
loop_
_symmetry_equiv_pos_as_xyz
'x,y,z'
loop_
_atom_site_label
_atom_site_type_symbol
_atom_site_fract_x
_atom_site_fract_y
_atom_site_fract_z
Be1 Be 0.0000 0.0000 0.0000
Ge1 Ge 0.5000 0.5000 0.5000
F1 F 0.3635 0.3635 0.3635
F2 F 0.6365 0.6365 0.6365
```